(1)
# Ac4LaTl2 | Alexandria via LeMat-Bulk | PBE-GGA | optimized geometry
data_Ac4LaTl2
_chemical_formula_sum 'Ac8 La2 Tl4'
_cell_length_a 9.2848
_cell_length_b 11.2991
_cell_length_c 5.2711
_cell_angle_alpha 90.00
_cell_angle_beta 90.00
_cell_angle_gamma 90.00
_symmetry_space_group_name_H-M 'P 1'
_symmetry_Int_Tables_number 1
_symmetry_space_group_name_Hall 'P 1'
loop_
_atom_site_label
_atom_site_fract_x
_atom_site_fract_y
_atom_site_fract_z
Ac1 0.2045 0.0000 0.0000
Ac2 0.2500 0.2500 0.5000
Ac3 0.2500 0.7500 0.5000
Ac4 0.2955 0.5000 0.0000
Ac5 0.7045 0.5000 0.0000
Ac6 0.7500 0.2500 0.5000
Ac7 0.7500 0.7500 0.5000
Ac8 0.7955 0.0000 0.0000
La1 0.0000 0.5000 0.5000
La2 0.5000 0.0000 0.5000
Tl1 0.0000 0.2877 0.0000
Tl2 0.0000 0.7123 0.0000
Tl3 0.5000 0.2123 0.0000
Tl4 0.5000 0.7877 0.0000
# - size of the total moment (μB per atom) = 0.0001
# - crystal system = orthorhombic
# - DFT formation energy (eV per atom) = -0.12

(2)
# PmZnGa2Au | Alexandria via LeMat-Bulk | PBE-GGA | optimized geometry
data_PmZnGa2Au
_chemical_formula_sum 'Pm2 Zn2 Ga4 Au2'
_cell_length_a 4.2725
_cell_length_b 4.2725
_cell_length_c 10.8191
_cell_angle_alpha 90.00
_cell_angle_beta 90.00
_cell_angle_gamma 90.00
_symmetry_space_group_name_H-M 'P 1'
_symmetry_Int_Tables_number 1
_symmetry_space_group_name_Hall 'P 1'
loop_
_atom_site_label
_atom_site_fract_x
_atom_site_fract_y
_atom_site_fract_z
Pm1 0.0000 0.0000 0.0000
Pm2 0.5000 0.5000 0.5000
Zn1 0.0000 0.5000 0.2500
Zn2 0.5000 0.0000 0.7500
Ga1 0.0000 0.0000 0.3870
Ga2 0.0000 0.0000 0.6130
Ga3 0.5000 0.5000 0.1130
Ga4 0.5000 0.5000 0.8870
Au1 0.0000 0.5000 0.7500
Au2 0.5000 0.0000 0.2500
# - size of the total moment (μB per atom) = 0.0000
# - crystal system = tetragonal
# - DFT formation energy (eV per atom) = -0.56

(3)
# PrNd4Tm2 | Alexandria via LeMat-Bulk | PBE-GGA | optimized geometry
data_PrNd4Tm2
_chemical_formula_sum 'Pr2 Nd8 Tm4'
_cell_length_a 12.6314
_cell_length_b 6.8492
_cell_length_c 13.6166
_cell_angle_alpha 67.04
_cell_angle_beta 29.95
_cell_angle_gamma 83.01
_symmetry_space_group_name_H-M 'P 1'
_symmetry_Int_Tables_number 1
_symmetry_space_group_name_Hall 'P 1'
loop_
_atom_site_label
_atom_site_fract_x
_atom_site_fract_y
_atom_site_fract_z
Pr1 0.0000 0.0000 0.0000
Pr2 0.2500 0.2500 0.2500
Nd1 0.0790 0.4956 0.1341
Nd2 0.1159 0.9586 0.1710
Nd3 0.4909 0.5347 0.3655
Nd4 0.4956 0.0790 0.2914
Nd5 0.5347 0.4909 0.6089
Nd6 0.6411 0.8845 0.7153
Nd7 0.8845 0.6411 0.7591
Nd8 0.9586 0.1159 0.7544
Tm1 0.0550 0.5696 0.8781
Tm2 0.3719 0.7527 0.1950
Tm3 0.5696 0.0550 0.4973
Tm4 0.7527 0.3719 0.6804
# - size of the total moment (μB per atom) = 0.0000
# - crystal system = orthorhombic
# - energy above the most stable polymorph in this dataset (meV per atom) = 0
# - DFT formation energy (eV per atom) = 0.06

(4)
# Ce2GdHg | Alexandria via LeMat-Bulk | PBE-GGA | optimized geometry
data_Ce2GdHg
_chemical_formula_sum 'Ce2 Gd1 Hg1'
_cell_length_a 4.1281
_cell_length_b 4.1281
_cell_length_c 6.9152
_cell_angle_alpha 90.00
_cell_angle_beta 90.00
_cell_angle_gamma 90.00
_symmetry_space_group_name_H-M 'P 1'
_symmetry_Int_Tables_number 1
_symmetry_space_group_name_Hall 'P 1'
loop_
_atom_site_label
_atom_site_fract_x
_atom_site_fract_y
_atom_site_fract_z
Ce1 0.0000 0.0000 0.2172
Ce2 0.0000 0.0000 0.7828
Gd1 0.5000 0.5000 0.5000
Hg1 0.5000 0.5000 0.0000
# - size of the total moment (μB per atom) = 2.6201
# - crystal system = tetragonal
# - energy above the most stable polymorph in this dataset (meV per atom) = 62
# - DFT formation energy (eV per atom) = -0.04